The following is a PBE calculation of a relaxed structure of GePSe3, from Alexandria.

Calculated values
DOS at the Fermi energy = 0.417 states/eV/atom
Formation energy (no corrections) = 193 kJ/mol of formula units
Energy relative to the lowest polymorph listed for this composition = 0.4371 eV/atom
Final energy = -3.70 eV/atom
Total moment = 0.00 μB per atom

a b c (Å): 4.849 4.849 4.849
angles (deg): 90.00 90.00 90.00
Atoms (fractional coordinates):
P  0.000  0.000  0.000
Se  0.000  0.500  0.000
Se  0.000  0.000  0.500
Se  0.500  0.000  0.000
Ge  0.500  0.500  0.500